Compound: CsScSnRh2
Source: Alexandria
Functional: SCAN
Structure: PBEsol geometry

## Properties
Calculated volume = 136.9 Å³/f.u.
Energy of formation from the pure elements = 1733 meV per atom
SG = No. 123

Cell and atoms, written as POSCAR:
```
CsScSnRh2
1.0
4.844 0.000 0.000
0.000 4.844 0.000
0.000 0.000 5.836
Cs Sc Rh Sn
1 1 2 1
direct
0.000 0.000 0.000
0.500 0.500 0.500
0.000 0.500 0.000
0.500 0.000 0.000
0.000 0.000 0.500
```